Entry 1:
5
Lattice="-2.0295 2.0295 8.6473 2.0295 -2.0295 8.6473 2.0295 2.0295 -8.6473" Properties=species:S:1:pos:R:3 comment="Na2ZnCd2, optimized geometry, DFT GGA-PBE" dos_at_fermi_per_ev_cell=1.53 crystal_system=tetragonal energy_ev_per_atom=-1.05 magnetic_moment_mub_per_atom=0.000 polymorph_energy_ev_per_atom=0.107 formation_energy_ev_per_atom=0.10 pbc="T T T"
Na 0.0000 0.0000 1.6445
Na 0.0000 0.0000 15.6500
Zn 0.0000 0.0000 8.6473
Cd 2.0295 0.0000 4.3236
Cd 0.0000 2.0295 4.3236

Entry 2:
5
Lattice="7.2222 0.0000 0.0000 0.0000 7.2222 0.0000 0.0000 0.0000 7.2222" Properties=species:S:1:pos:R:3 comment="Cs3InSn, optimized geometry, DFT GGA-PBE" dos_at_fermi_per_ev_cell=5.25 crystal_system=cubic energy_ev_per_atom=-1.50 magnetic_moment_mub_per_atom=0.416 polymorph_energy_ev_per_atom=0.412 formation_energy_ev_per_atom=0.36 pbc="T T T"
Cs 0.0000 0.0000 3.6111
Cs 0.0000 3.6111 0.0000
Cs 3.6111 0.0000 0.0000
In 0.0000 0.0000 0.0000
Sn 3.6111 3.6111 3.6111

Entry 3:
18
Lattice="6.0056 -4.7795 0.0000 6.0056 4.7795 0.0000 -2.1514 0.0000 5.6382" Properties=species:S:1:pos:R:3 comment="NpB2S6, optimized geometry, DFT GGA-PBE" dos_at_fermi_per_ev_cell=13.82 crystal_system=monoclinic raw_formation_energy_ev_per_atom=-0.4236 energy_ev_per_atom=-6.10 magnetic_moment_mub_per_atom=0.126 pbc="T T T"
Np 4.3920 3.1551 4.2287
Np 5.4678 -3.1551 1.4096
B 1.9448 0.5864 4.3759
B 3.0205 -0.5864 1.5568
B 6.8393 0.5864 4.0814
B 7.9150 -0.5864 1.2623
S 0.1239 0.5192 3.7309
S 2.3337 2.1227 5.4158
S 1.1997 -0.5192 0.9117
S 3.1874 0.8222 2.9352
S 6.4504 2.1227 3.0416
S 4.2631 -0.8222 0.1161
S 5.5967 0.8222 5.5222
S 3.4094 -2.1227 2.5967
S 6.6724 -0.8222 2.7030
S 8.6601 0.5192 4.7265
S 7.5261 -2.1227 0.2224
S 9.7359 -0.5192 1.9074

Entry 4:
4
Lattice="1.3648 0.7880 7.4526 -1.3648 0.7880 7.4526 0.0000 -1.5760 7.4526" Properties=species:S:1:pos:R:3 comment="CoSi2Ni, optimized geometry, DFT GGA-PBE" dos_at_fermi_per_ev_cell=3.09 crystal_system=trigonal raw_formation_energy_ev_per_atom=-0.0250 energy_ev_per_atom=-5.96 magnetic_moment_mub_per_atom=0.015 pbc="T T T"
Co 0.0000 0.0000 0.0000
Si 0.0000 0.0000 11.1902
Si 0.0000 0.0000 16.5313
Ni 0.0000 0.0000 5.4003

Entry 5:
9
Lattice="7.3166 0.0000 0.0000 -3.6583 6.3363 0.0000 0.0000 0.0000 2.8169" Properties=species:S:1:pos:R:3 comment="Li3Zn3AgRh2, optimized geometry, DFT GGA-PBE" dos_at_fermi_per_ev_cell=3.90 crystal_system=hexagonal energy_ev_per_atom=-3.28 magnetic_moment_mub_per_atom=0.000 formation_energy_ev_per_atom=-0.26 pbc="T T T"
Li -2.5546 4.4247 0.0000
Li 1.1037 1.9116 0.0000
Li 5.1092 0.0000 0.0000
Zn -1.4386 2.4917 1.4084
Zn 2.8772 0.0000 1.4084
Zn 2.2197 3.8446 1.4084
Ag 0.0000 0.0000 1.4084
Rh 0.0000 4.2242 0.0000
Rh 3.6583 2.1121 0.0000

Entry 6:
12
Lattice="4.7183 0.0000 0.0000 0.0000 6.3470 0.0000 -2.3030 0.0000 7.0855" Properties=species:S:1:pos:R:3 comment="Li2Hg3Rh, optimized geometry, DFT GGA-PBE" dos_at_fermi_per_ev_cell=5.36 crystal_system=monoclinic energy_ev_per_atom=-2.22 magnetic_moment_mub_per_atom=0.000 formation_energy_ev_per_atom=-0.21 pbc="T T T"
Li 0.0000 0.0000 0.0000
Li 0.0000 3.1735 0.0000
Li 0.0387 0.0000 4.7752
Li 2.3766 0.0000 2.3104
Hg 0.0189 1.5619 2.3597
Hg 0.0189 4.7850 2.3597
Hg 2.3591 1.5915 0.0000
Hg 2.3591 4.7554 0.0000
Hg 2.3964 1.5619 4.7259
Hg 2.3964 4.7850 4.7259
Rh 0.0354 3.1735 4.7182
Rh 2.3799 3.1735 2.3674

Entry 7:
29
Lattice="6.0083 -8.5823 0.0000 6.0083 8.5823 0.0000 -6.0053 0.0000 8.4938" Properties=species:S:1:pos:R:3 comment="Tl16GaSn12, optimized geometry, DFT GGA-PBE" dos_at_fermi_per_ev_cell=11.75 crystal_system=monoclinic energy_ev_per_atom=-3.06 magnetic_moment_mub_per_atom=0.000 formation_energy_ev_per_atom=0.01 pbc="T T T"
Tl 0.0000 0.0000 0.0000
Tl -3.8315 0.0000 5.4397
Tl -2.1410 5.1576 8.1513
Tl 0.4695 2.7295 2.0800
Tl -1.6845 3.0320 5.4766
Tl 3.8859 3.3893 2.8001
Tl 1.6905 2.4121 5.4198
Tl 0.4695 -2.7295 2.0800
Tl -1.6845 -3.0320 5.4766
Tl 6.4371 2.6906 0.3442
Tl 1.6905 -2.4121 5.4198
Tl -2.1410 -5.1576 8.1513
Tl 5.8945 0.0000 2.4360
Tl 2.6278 0.0000 7.8948
Tl 3.8859 -3.3893 2.8001
Tl 6.4371 -2.6906 0.3442
Ga 2.6051 0.0000 2.8769
Sn 1.1214 5.4752 3.8855
Sn 3.2785 7.0083 2.3783
Sn 3.1827 1.5687 0.1402
Sn 1.0849 5.4509 7.0432
Sn -0.3723 0.0000 3.8837
Sn -0.5781 0.0000 6.9625
Sn 3.1827 -1.5687 0.1402
Sn 4.8650 1.5147 5.4375
Sn 1.1214 -5.4752 3.8855
Sn 4.8650 -1.5147 5.4375
Sn 3.2785 -7.0083 2.3783
Sn 1.0849 -5.4509 7.0432

Entry 8:
5
Lattice="4.8548 0.0000 0.0000 0.0000 4.8548 0.0000 0.0000 0.0000 4.8548" Properties=species:S:1:pos:R:3 comment="CsGaNi3, optimized geometry, DFT GGA-PBE" dos_at_fermi_per_ev_cell=1.32 crystal_system=cubic energy_ev_per_atom=-2.34 magnetic_moment_mub_per_atom=0.000 polymorph_energy_ev_per_atom=1.181 formation_energy_ev_per_atom=1.91 pbc="T T T"
Cs 0.0000 0.0000 0.0000
Ga 2.4274 2.4274 2.4274
Ni 0.0000 0.0000 2.4274
Ni 0.0000 2.4274 0.0000
Ni 2.4274 0.0000 0.0000

Entry 9:
10
Lattice="6.8980 0.0000 0.0000 0.0000 6.8980 0.0000 0.0000 0.0000 3.9316" Properties=species:S:1:pos:R:3 comment="Zr2Cu2Cl, optimized geometry, DFT GGA-PBE" dos_at_fermi_per_ev_cell=10.15 crystal_system=tetragonal raw_formation_energy_ev_per_atom=-0.2274 energy_ev_per_atom=-5.65 magnetic_moment_mub_per_atom=0.000 pbc="T T T"
Zr 1.1535 2.2955 0.0000
Zr 2.2955 5.7445 0.0000
Zr 4.6024 1.1535 0.0000
Zr 5.7445 4.6024 0.0000
Cu 0.8641 4.3131 1.9658
Cu 2.5848 0.8641 1.9658
Cu 4.3131 6.0338 1.9658
Cu 6.0338 2.5848 1.9658
Cl 0.0000 0.0000 0.0000
Cl 3.4490 3.4490 0.0000

Entry 10:
18
Lattice="7.0366 0.0000 0.0000 -3.5183 6.0939 0.0000 0.0000 0.0000 12.9312" Properties=species:S:1:pos:R:3 comment="KSrAlCl6, optimized geometry, DFT GGA-PBE" dos_at_fermi_per_ev_cell=0.00 crystal_system=trigonal raw_formation_energy_ev_per_atom=-1.9332 energy_ev_per_atom=-3.89 magnetic_moment_mub_per_atom=0.000 pbc="T T T"
K 0.0000 0.0000 0.0000
K 0.0000 0.0000 6.4656
Sr 0.0000 4.0626 3.2328
Sr 3.5183 2.0313 9.6984
Al 0.0000 4.0626 9.6984
Al 3.5183 2.0313 3.2328
Cl -0.9911 2.4249 8.3183
Cl -1.9138 4.0231 11.0785
Cl 0.9911 2.4249 11.0785
Cl -0.9227 5.7397 8.3183
Cl 2.5956 0.3542 1.8527
Cl 1.6045 2.0708 4.6129
Cl 1.9138 4.0231 8.3183
Cl 0.9227 5.7397 11.0785
Cl 4.4410 0.3542 4.6129
Cl 2.5272 3.6690 1.8527
Cl 5.4321 2.0708 1.8527
Cl 4.5094 3.6690 4.6129

Entry 11:
4
Lattice="2.8330 0.0000 0.0000 0.0000 4.3626 0.0000 -1.3476 0.0000 6.8220" Properties=species:S:1:pos:R:3 comment="TaSiHg2, optimized geometry, DFT GGA-PBE" dos_at_fermi_per_ev_cell=2.46 crystal_system=monoclinic raw_formation_energy_ev_per_atom=0.2952 energy_ev_per_atom=-4.17 magnetic_moment_mub_per_atom=0.000 pbc="T T T"
Ta 0.0000 0.0000 0.0000
Si 0.0696 2.1813 6.5379
Hg 0.0836 0.0000 4.1482
Hg 1.5598 2.1813 2.3687

Entry 12:
7
Lattice="2.1684 -10.6021 0.0000 2.1684 10.6021 0.0000 0.0000 0.0000 3.8010" Properties=species:S:1:pos:R:3 comment="Li3Ca2Zn2, optimized geometry, DFT GGA-PBE" dos_at_fermi_per_ev_cell=4.46 crystal_system=orthorhombic energy_ev_per_atom=-1.85 magnetic_moment_mub_per_atom=0.000 polymorph_energy_ev_per_atom=0.038 formation_energy_ev_per_atom=-0.10 pbc="T T T"
Li 0.0000 0.0000 0.0000
Li 2.1684 1.5061 1.9005
Li 2.1684 -1.5061 1.9005
Ca 2.1684 7.1549 0.0000
Ca 2.1684 -7.1549 0.0000
Zn 2.1684 4.5807 1.9005
Zn 2.1684 -4.5807 1.9005